(1)
This record from Alexandria describes a geometry-optimized SrMg2Rh2 structure. The functional is PBEsol.

Cell: 4.322 4.322 11.061 Å, 90.00 90.00 90.00°
Space group I4/mmm (No. 139)
One atom of each set of equivalent atoms:
Sr 0.000 0.000 0.000 [2 per cell]
Mg 0.000 0.500 0.250 [4 per cell]
Rh 0.000 0.000 0.388 [4 per cell]

Results
Total magnetic moment = 0.000 μB per formula unit
E above lowest polymorph = 0.0215 eV/atom
Energy of formation = -0.23 eV/atom

=====

(2)
This record from Alexandria describes a geometry-optimized ZrTl2CuHg structure. The functional is PBEsol.

Cell: 5.322 5.322 5.429 Å, 90.00 90.00 90.00°
Space group P4/mmm (No. 123)
One atom of each set of equivalent atoms:
Zr 0.000 0.000 0.000 [1 per cell]
Tl 0.000 0.500 0.500 [2 per cell]
Cu 0.500 0.500 0.000 [1 per cell]
Hg 0.000 0.000 0.500 [1 per cell]

Results
Total magnetic moment = 0.004 μB per formula unit
Energy of formation = 1.18 eV/atom

=====

(3)
This record from Alexandria describes a geometry-optimized Ba5Sb4 structure. The functional is PBEsol.

Cell: 8.994 17.652 9.036 Å, 90.00 90.00 90.00°
Space group Pnma (No. 62)
One atom of each set of equivalent atoms:
Ba 0.071 0.103 0.169 [8 per cell]
Ba 0.089 0.606 0.337 [8 per cell]
Ba 0.243 0.250 0.502 [4 per cell]
Sb 0.128 0.250 0.891 [4 per cell]
Sb 0.144 0.750 0.618 [4 per cell]
Sb 0.245 0.051 0.506 [8 per cell]

Results
Total magnetic moment = 0.000 μB per formula unit
Raw formation energy = -1054 meV per atom

=====

(4)
This record from Alexandria describes a geometry-optimized InCoAg2 structure. The functional is PBEsol.

Cell: 2.974 4.512 9.533 Å, 90.00 90.00 90.00°
Space group Immm (No. 71)
One atom of each set of equivalent atoms:
In 0.000 0.000 0.000 [2 per cell]
Co 0.000 0.000 0.500 [2 per cell]
Ag 0.000 0.500 0.230 [4 per cell]

Results
Total magnetic moment = 0.996 μB per formula unit
Energy of formation = 0.19 eV/atom

=====

(5)
This record from Alexandria describes a geometry-optimized K2CdRe structure. The functional is PBEsol.

Cell: 2.9813 2.9813 36.9146 Å, 90.00 90.00 120.00°
Space group R3m (No. 160, hexagonal axes)
One atom of each set of equivalent atoms:
K 0.0000 0.0000 0.0000 [3 per cell]
K 0.0000 0.0000 0.2231 [3 per cell]
Cd 0.0000 0.0000 0.7494 [3 per cell]
Re 0.0000 0.0000 0.4800 [3 per cell]

Results
Total magnetic moment = 0.000 μB per formula unit
Energy of formation = 1.09 eV/atom

=====

(6)
This record from Alexandria describes a geometry-optimized CrOsCl structure. The functional is PBEsol.

Cell: 2.911 4.886 12.980 Å, 90.00 90.00 90.00°
Space group Fmm2 (No. 42)
One atom of each set of equivalent atoms:
Cr 0.000 0.000 0.000 [4 per cell]
Os 0.000 0.000 0.355 [4 per cell]
Cl 0.000 0.000 0.641 [4 per cell]

Results
Total magnetic moment = 2.205 μB per formula unit
E above lowest polymorph = 0.0000 eV/atom
Raw formation energy = 543 meV per atom

=====

(7)
This record from Alexandria describes a geometry-optimized KSe3 structure. The functional is PBEsol.

Cell: 3.752 7.618 8.953 Å, 90.00 90.00 90.00°
Space group Imm2 (No. 44)
One atom of each set of equivalent atoms:
K 0.000 0.000 0.000 [2 per cell]
Se 0.000 0.252 0.291 [4 per cell]
Se 0.000 0.500 0.144 [2 per cell]

Results
Total magnetic moment = 0.000 μB per formula unit
E above lowest polymorph = 0.0623 eV/atom
Raw formation energy = -380 meV per atom

=====

(8)
This record from Alexandria describes a geometry-optimized TaInBr2 structure. The functional is PBEsol.

Cell: 3.235 4.572 5.854 Å, 90.00 94.76 90.00°
Space group P2/m (No. 10)
One atom of each set of equivalent atoms:
Ta 0.000 0.000 0.000 [1 per cell]
In 0.500 0.000 0.500 [1 per cell]
Br 0.136 0.500 0.771 [2 per cell]

Results
Total magnetic moment = 0.000 μB per formula unit
E above lowest polymorph = 0.0000 eV/atom
Raw formation energy = 109 meV per atom

=====

Number 1: calculated total energy -4.536 eV per atom. Number 2: calculated total energy -2.670 eV per atom. Number 3: calculated total energy -4.273 eV per atom. Number 4: calculated total energy -4.149 eV per atom. Number 5: calculated total energy -3.112 eV per atom. Number 6: calculated total energy -7.612 eV per atom. Number 7: calculated total energy -3.551 eV per atom. Number 8: calculated total energy -4.709 eV per atom.